# Mg2AlZn2 | Alexandria via LeMat-Bulk | GGA-PBEsol | relaxed
data_Mg2AlZn2
_chemical_formula_sum 'Mg4 Al2 Zn4'
_cell_length_a 6.598
_cell_length_b 6.598
_cell_length_c 4.134
_cell_angle_alpha 90.00
_cell_angle_beta 90.00
_cell_angle_gamma 90.00
_space_group_name_H-M_alt 'P 4/m b m'
_space_group_IT_number 127
_space_group_name_Hall '-P 4 2ab'
loop_
_atom_site_label
_atom_site_fract_x
_atom_site_fract_y
_atom_site_fract_z
Mg1 0.169 0.331 0.000
Al1 0.000 0.000 0.500
Zn1 0.133 0.633 0.500
# N(E_F)   3.77 states/eV per cell
# Crystal system   tetragonal
# Calculated formation energy   -0.04 eV per atom
# Theoretical density   3.81 g/cm3
# Size of the total moment   0.0 μB per formula unit
# V   17.995 A^3/atom